--- 1 ---
Here is Nb3CuC after structural relaxation from Alexandria. Energies are from GGA-PBE.

Geometry as extended XYZ:
```
5
Lattice="4.269 0.000 0.000 0.000 4.269 0.000 0.000 0.000 4.269" Properties=species:S:1:pos:R:3 pbc="T T T"
Nb 0.000 0.000 2.134
Nb 0.000 2.134 0.000
Nb 2.134 0.000 0.000
Cu 2.134 2.134 2.134
C 0.000 0.000 0.000
```


--- 2 ---
Here is Nb3CuC after structural relaxation from Alexandria. Energies are from GGA-PBE.

Geometry as extended XYZ:
```
10
Lattice="3.229 0.000 0.000 0.000 8.502 0.000 -1.613 0.000 5.376" Properties=species:S:1:pos:R:3 pbc="T T T"
Nb 0.003 2.125 0.539
Nb 0.002 0.441 3.962
Nb 0.002 3.810 3.962
Nb 1.614 4.692 1.414
Nb 1.614 8.060 1.414
Nb 1.613 6.376 4.837
Cu -0.001 6.376 2.756
Cu 1.617 2.125 2.620
C 0.000 0.000 0.000
C 0.000 4.251 0.000
```


Which structure is most stable? 2, by 19.1 kJ/mol of atoms over the runner-up.


--- 1 ---
Here is NbCuC3 after structural relaxation from Alexandria. Energies are from GGA-PBE.

Geometry as extended XYZ:
```
5
Lattice="3.759 0.000 0.000 0.000 3.759 0.000 0.000 0.000 3.759" Properties=species:S:1:pos:R:3 pbc="T T T"
Nb 0.000 0.000 0.000
Cu 1.879 1.879 1.879
C 0.000 1.879 1.879
C 1.879 0.000 1.879
C 1.879 1.879 0.000
```


--- 2 ---
Here is NbCuC3 after structural relaxation from Alexandria. Energies are from GGA-PBE.

Geometry as extended XYZ:
```
5
Lattice="4.175 0.000 0.000 0.000 4.175 0.000 0.000 0.000 4.175" Properties=species:S:1:pos:R:3 pbc="T T T"
Nb 0.000 0.000 0.000
Cu 2.087 2.087 2.087
C 0.000 0.000 2.087
C 0.000 2.087 0.000
C 2.087 0.000 0.000
```


Which structure is most stable? 1, by 0.6 kJ/mol of atoms over the runner-up.


--- 1 ---
Here is Cu3NiC after structural relaxation from Alexandria. Energies are from GGA-PBE.

Geometry as extended XYZ:
```
5
Lattice="3.816 0.000 0.000 0.000 3.816 0.000 0.000 0.000 3.816" Properties=species:S:1:pos:R:3 pbc="T T T"
Cu 0.000 0.000 1.908
Cu 0.000 1.908 0.000
Cu 1.908 0.000 0.000
Ni 1.908 1.908 1.908
C 0.000 0.000 0.000
```


--- 2 ---
Here is Cu3NiC after structural relaxation from Alexandria. Energies are from GGA-PBE.

Geometry as extended XYZ:
```
5
Lattice="4.306 0.000 0.000 0.000 4.306 0.000 0.000 0.000 4.306" Properties=species:S:1:pos:R:3 pbc="T T T"
Cu 0.000 0.000 2.153
Cu 0.000 2.153 0.000
Cu 2.153 0.000 0.000
Ni 0.000 0.000 0.000
C 2.153 2.153 2.153
```


Which structure is most stable? 1, by 158.5 kJ/mol of atoms over the runner-up.


--- 1 ---
Here is CuNi3C after structural relaxation from Alexandria. Energies are from GGA-PBE.

Geometry as extended XYZ:
```
5
Lattice="4.234 0.000 0.000 0.000 4.234 0.000 0.000 0.000 4.234" Properties=species:S:1:pos:R:3 pbc="T T T"
Cu 0.000 0.000 0.000
Ni 0.000 0.000 2.117
Ni 0.000 2.117 0.000
Ni 2.117 0.000 0.000
C 2.117 2.117 2.117
```


--- 2 ---
Here is CuNi3C after structural relaxation from Alexandria. Energies are from GGA-PBE.

Geometry as extended XYZ:
```
5
Lattice="3.739 0.000 0.000 0.000 3.739 0.000 0.000 0.000 3.739" Properties=species:S:1:pos:R:3 pbc="T T T"
Cu 0.000 0.000 0.000
Ni 0.000 1.870 1.870
Ni 1.870 0.000 1.870
Ni 1.870 1.870 0.000
C 1.870 1.870 1.870
```


Which structure is most stable? 2, by 210.0 kJ/mol of atoms over the runner-up.